## Mn2SiSb (GGA-PBE)

Data for Mn2SiSb after structural relaxation.

```
Mn2SiSb
1.0
-2.431 -1.406 -0.726
1.540 -1.797 -1.676
0.937 -4.623 5.817
Mn Si Sb
2 1 1
Direct
0.000 0.000 0.013
0.500 0.500 0.195
0.500 0.500 0.831
0.000 0.000 0.460
```

Summary:
As for the symmetry: P4mm (99). As for the crystal system: tetragonal. The value obtained for the uncorrected energy is -27.007 eV per cell.